Here is a relaxed structure of Ho3Si4Ir2 from the Alexandria database. Energies are from PBE.

```
Ho3Si4Ir2
1.0
-1.150 3.829 -0.519
-4.620 -3.442 0.496
1.738 1.586 7.851
Ho Ir Si
3 2 4
Cartesian
-1.190 2.441 4.992
-2.842 -0.469 2.836
0.000 0.000 0.000
-1.207 2.025 1.960
-2.825 -0.053 5.869
-1.252 0.638 7.482
0.159 0.459 3.035
-2.781 1.334 0.347
-4.191 1.514 4.794
```

Summary:
E above lowest polymorph	0.033	eV/atom
space-group type	C2/m
energy relative to the elements, uncorrected	-0.91	eV per atom
total energy	-6.8151	eV per atom